A plane-wave DFT calculation with GGA+U was carried out for a relaxed AlCoAsO crystal.

Summary:
Space group ... No. 26

Unit cell a=3.9583 b=6.0979 c=5.3981 alpha=90.00 beta=90.00 gamma=90.00
Last column: nearest neighbours and their distance in Å.
Positions (direct):
1 Al 0.0000 0.1321 0.5407  2 O 1.80-1.81
2 Al 0.0000 0.8679 0.0407  2 O 1.80-1.81
3 Co 0.5000 0.2755 0.9419  2 O 2.21, 2 As 2.47
4 Co 0.5000 0.7245 0.4419  2 O 2.21, 2 As 2.47
5 As 0.5000 0.3220 0.3968  2 Al 2.42, 2 Co 2.47
6 As 0.5000 0.6780 0.8968  2 Al 2.42, 2 Co 2.47
7 O 0.0000 0.8744 0.3746  2 Al 1.80-1.81
8 O 0.0000 0.1256 0.8746  2 Al 1.80-1.81


A plane-wave DFT calculation with GGA+U was carried out for a relaxed AlCoAsO crystal.

Summary:
Space group ... No. 26

Unit cell a=3.1332 b=6.3139 c=6.2028 alpha=90.00 beta=90.00 gamma=90.00
Last column: nearest neighbours and their distance in Å.
Positions (direct):
1 Co 0.5000 0.6166 0.5490  2 O 2.12-2.13, 2 As 2.36
2 Co 0.5000 0.3834 0.0490  2 O 2.12-2.13, 2 As 2.36
3 Al 0.0000 0.7990 0.9625  2 O 1.80
4 Al 0.0000 0.2010 0.4625  2 O 1.80
5 As 0.0000 0.8243 0.3580  2 Co 2.36, 2 Al 2.46-2.47
6 As 0.0000 0.1757 0.8580  2 Co 2.36, 2 Al 2.46-2.47
7 O 0.5000 0.3203 0.3844  2 Al 1.80
8 O 0.5000 0.6797 0.8844  2 Al 1.80


A plane-wave DFT calculation with GGA+U was carried out for a relaxed AlCoAsO crystal.

Summary:
Space group ... No. 129

Unit cell a=4.0643 b=4.0643 c=8.4061 alpha=90.00 beta=90.00 gamma=90.00
Last column: nearest neighbours and their distance in Å.
Positions (direct):
1 O 0.7500 0.2500 0.0000  4 Co 2.03
2 O 0.2500 0.7500 0.0000  4 Co 2.03
3 Co 0.7500 0.7500 0.9992  4 O 2.03
4 Co 0.2500 0.2500 0.0008  4 O 2.03
5 As 0.7500 0.7500 0.3183  4 Al 2.54, 1 Co 2.68
6 As 0.2500 0.2500 0.6817  4 Al 2.54, 1 Co 2.68
7 Al 0.7500 0.2500 0.5000  4 As 2.54
8 Al 0.2500 0.7500 0.5000  4 As 2.54


A plane-wave DFT calculation with GGA+U was carried out for a relaxed AlCoAsO crystal.

Summary:
Space group ... No. 129

Unit cell a=3.4928 b=3.4928 c=8.8376 alpha=90.00 beta=90.00 gamma=90.00
Last column: nearest neighbours and their distance in Å.
Positions (direct):
1 As 0.0000 0.5000 0.6942  4 Co 2.45
2 As 0.5000 0.0000 0.3058  4 Co 2.45
3 Al 0.5000 0.0000 0.9079  4 O 1.93
4 Al 0.0000 0.5000 0.0921  4 O 1.93
5 O 0.5000 0.5000 0.0000  4 Al 1.93
6 O 0.0000 0.0000 0.0000  4 Al 1.93
7 Co 0.5000 0.5000 0.5000  4 As 2.45, 4 Co 2.47
8 Co 0.0000 0.0000 0.5000  4 As 2.45, 4 Co 2.47


Number 1: polymorph energy (0 for the lowest one) 0.00 eV per formula unit. Number 2: polymorph energy (0 for the lowest one) 0.03 eV per formula unit. Number 3: polymorph energy (0 for the lowest one) 1.76 eV per formula unit. Number 4: polymorph energy (0 for the lowest one) 0.23 eV per formula unit.